# 1
# In2SnHg, relaxed, DFT PBE
data_In2SnHg
_chemical_formula_sum 'In2 Sn1 Hg1'
_cell_length_a 5.577
_cell_length_b 5.577
_cell_length_c 3.476
_cell_angle_alpha 90.00
_cell_angle_beta 90.00
_cell_angle_gamma 90.00
_space_group_name_H-M_alt 'P 4/m m m'
_space_group_IT_number 123
_space_group_name_Hall '-P 4 2'
loop_
_atom_site_label
_atom_site_type_symbol
_atom_site_fract_x
_atom_site_fract_y
_atom_site_fract_z
In1 In 0.000 0.500 0.000
Sn1 Sn 0.000 0.000 0.500
Hg1 Hg 0.500 0.500 0.500
# * energy of formation from the pure elements: 14.5 meV/atom
# * uncorrected energy: -9.7 eV for the cell shown
# * total magnetization: 0.000 μB/f.u.
# * calculated volume: 108.1 Å³/cell

---

# 2
# In8SnHg4, relaxed, DFT PBE
data_In8SnHg4
_chemical_formula_sum 'In24 Sn3 Hg12'
_cell_length_a 10.1618
_cell_length_b 10.1618
_cell_length_c 12.6668
_cell_angle_alpha 90.00
_cell_angle_beta 90.00
_cell_angle_gamma 120.00
_space_group_name_H-M_alt 'R -3 m'
_space_group_IT_number 166
_space_group_name_Hall '-R 3 2"'
loop_
_atom_site_label
_atom_site_type_symbol
_atom_site_fract_x
_atom_site_fract_y
_atom_site_fract_z
In1 In 0.0000 0.0000 0.2431
In2 In 0.0101 0.5050 0.7480
Sn1 Sn 0.0000 0.0000 0.5000
Hg1 Hg 0.0000 0.0000 0.0000
Hg2 Hg 0.0000 0.5000 0.0000
# * energy of formation from the pure elements: 60.5 meV/atom
# * uncorrected energy: -79.0 eV for the cell shown
# * total magnetization: 0.000 μB/f.u.
# * calculated volume: 1132.8 Å³/cell